Here is an optimized crystal structure of Mn2BiSCl from Alexandria via LeMat-Bulk. Energies are from GGA-PBEsol.

Geometry as POSCAR:
```
Mn2BiSCl
1.0
-1.963 -4.431 1.495
1.853 0.843 4.933
-4.558 2.455 1.293
S Mn Bi Cl
1 2 1 1
direct
0.500 0.500 0.500
0.000 0.000 0.500
0.000 0.500 0.000
0.000 0.000 0.000
0.500 0.000 0.000
```

Values from the calculation:
Fermi-level density of states = 0.36 states/eV per atom
Formation energy (no corrections) = 0.9882 eV per atom